[1]
A plane-wave DFT calculation with PBE was carried out for a geometry-optimized Pa2MnZn2N6 structure.

Cell: 5.912 5.912 5.087 Å, 95.06 95.06 122.02°
Sites, in units of the cell vectors:
Pa: 0.159 0.841 0.000
Pa: 0.841 0.159 0.000
Mn: 0.500 0.500 0.000
Zn: 0.371 0.629 0.500
Zn: 0.629 0.371 0.500
N: 0.150 0.474 0.792
N: 0.253 0.253 0.229
N: 0.474 0.150 0.792
N: 0.526 0.850 0.208
N: 0.747 0.747 0.771
N: 0.850 0.526 0.208

Properties
SG: C2/m (12)
E_tot, eV/atom: -7.959


[2]
A plane-wave DFT calculation with PBE was carried out for a geometry-optimized NdSmHo2Er4 structure.

Cell: 7.095 7.095 12.262 Å, 106.82 106.82 59.98°
Sites, in units of the cell vectors:
Nd: 0.000 0.000 0.000
Nd: 0.000 0.000 0.500
Sm: 0.000 0.500 0.000
Sm: 0.500 0.000 0.000
Ho: 0.000 0.500 0.500
Ho: 0.500 0.000 0.500
Ho: 0.500 0.500 0.000
Ho: 0.500 0.500 0.500
Er: 0.250 0.250 0.749
Er: 0.250 0.749 0.749
Er: 0.251 0.251 0.252
Er: 0.251 0.750 0.251
Er: 0.749 0.250 0.749
Er: 0.749 0.749 0.748
Er: 0.750 0.251 0.251
Er: 0.750 0.750 0.251

Properties
SG: C2/m (12)
ΔE_f, eV per atom: 0.018
E_tot, eV/atom: -4.594


[3]
A plane-wave DFT calculation with PBE was carried out for a geometry-optimized AgTe2RhN structure.

Cell: 5.445 5.445 3.820 Å, 90.00 90.00 90.00°
Sites, in units of the cell vectors:
Ag: 0.000 0.000 0.000
Te: 0.000 0.500 0.000
Te: 0.500 0.000 0.000
Rh: 0.500 0.500 0.500
N: 0.000 0.000 0.500

Properties
SG: P4/mmm (123)
Energy relative to the lowest polymorph listed for this composition, meV/atom: 940
E_tot, eV/atom: -3.626


[4]
A plane-wave DFT calculation with PBE was carried out for a geometry-optimized CdSiW2 structure.

Cell: 4.951 4.951 4.995 Å, 98.40 98.40 32.76°
Sites, in units of the cell vectors:
Cd: 0.000 0.000 0.000
Si: 0.240 0.240 0.741
W: 0.506 0.506 0.505
W: 0.756 0.756 0.262

Properties
SG: Cm (8)
Energy relative to the lowest polymorph listed for this composition, meV/atom: 198
E_tot, eV/atom: -7.504


[5]
A plane-wave DFT calculation with PBE was carried out for a geometry-optimized InTe2Cl structure.

Cell: 3.751 4.706 8.050 Å, 90.00 91.46 90.00°
Sites, in units of the cell vectors:
In: 0.000 0.000 0.000
Te: 0.784 0.000 0.430
Te: 0.816 0.500 0.615
Cl: 0.453 0.500 0.094

Properties
SG: Pm (6)
Energy relative to the lowest polymorph listed for this composition, meV/atom: 119
E_tot, eV/atom: -2.968


[6]
A plane-wave DFT calculation with PBE was carried out for a geometry-optimized Pm4CO3 structure.

Cell: 6.213 7.215 6.222 Å, 90.00 109.50 90.00°
Sites, in units of the cell vectors:
Pm: 0.247 0.121 0.000
Pm: 0.247 0.879 0.500
Pm: 0.248 0.370 0.495
Pm: 0.248 0.630 0.995
Pm: 0.752 0.370 0.005
Pm: 0.752 0.630 0.505
Pm: 0.753 0.121 0.500
Pm: 0.753 0.879 0.000
C: 0.000 0.131 0.250
C: 0.000 0.869 0.750
O: 0.000 0.379 0.750
O: 0.000 0.621 0.250
O: 0.500 0.132 0.750
O: 0.500 0.379 0.250
O: 0.500 0.621 0.750
O: 0.500 0.868 0.250

Properties
SG: P2/c (13)
Energy relative to the lowest polymorph listed for this composition, meV/atom: 0
E_tot, eV/atom: -7.604


[7]
A plane-wave DFT calculation with PBE was carried out for a geometry-optimized Nd5Pd2Pt2 structure.

Cell: 10.258 10.258 10.258 Å, 61.34 138.57 136.87°
Sites, in units of the cell vectors:
Nd: 0.156 0.035 0.621
Nd: 0.177 0.072 0.249
Nd: 0.177 0.428 0.606
Nd: 0.414 0.535 0.379
Nd: 0.462 0.793 0.970
Nd: 0.462 0.992 0.169
Nd: 0.822 0.293 0.831
Nd: 0.822 0.492 0.030
Nd: 0.823 0.572 0.394
Nd: 0.823 0.928 0.751
Pd: 0.294 0.408 0.038
Pd: 0.294 0.756 0.387
Pd: 0.370 0.256 0.962
Pd: 0.370 0.908 0.613
Pt: 0.691 0.191 0.500
Pt: 0.691 0.691 0.000
Pt: 0.907 0.179 0.228
Pt: 0.951 0.679 0.772

Properties
SG: Ima2 (46)
ΔE_f, eV per atom: -0.789
E_tot, eV/atom: -5.934


[8]
A plane-wave DFT calculation with PBE was carried out for a geometry-optimized SrPaSnHg structure.

Cell: 5.478 5.478 5.478 Å, 60.00 60.00 60.00°
Sites, in units of the cell vectors:
Sr: 0.000 0.000 0.000
Pa: 0.500 0.500 0.500
Sn: 0.250 0.250 0.250
Hg: 0.750 0.750 0.750

Properties
SG: F-43m (216)
ΔE_f, eV per atom: -0.074
E_tot, eV/atom: -3.944


[9]
A plane-wave DFT calculation with PBE was carried out for a geometry-optimized LiCe12Os6 structure.

Cell: 8.496 8.496 8.496 Å, 106.61 106.61 106.61°
Sites, in units of the cell vectors:
Li: 0.000 0.000 0.000
Ce: 0.124 0.500 0.876
Ce: 0.124 0.876 0.500
Ce: 0.169 0.441 0.441
Ce: 0.441 0.169 0.441
Ce: 0.441 0.441 0.169
Ce: 0.500 0.124 0.876
Ce: 0.500 0.876 0.124
Ce: 0.559 0.559 0.831
Ce: 0.559 0.831 0.559
Ce: 0.831 0.559 0.559
Ce: 0.876 0.124 0.500
Ce: 0.876 0.500 0.124
Os: 0.250 0.250 0.677
Os: 0.250 0.677 0.250
Os: 0.323 0.750 0.750
Os: 0.677 0.250 0.250
Os: 0.750 0.323 0.750
Os: 0.750 0.750 0.323

Properties
SG: R-3m (166)
ΔE_f, eV per atom: 0.007
E_tot, eV/atom: -7.387


[10]
A plane-wave DFT calculation with PBE was carried out for a geometry-optimized BaVInSn2 structure.

Cell: 5.223 5.223 5.305 Å, 90.00 90.00 90.00°
Sites, in units of the cell vectors:
Ba: 0.000 0.000 0.000
V: 0.500 0.500 0.500
In: 0.500 0.500 0.000
Sn: 0.000 0.500 0.500
Sn: 0.500 0.000 0.500

Properties
SG: P4/mmm (123)
ΔE_f, eV per atom: -0.228
E_tot, eV/atom: -4.585


[11]
A plane-wave DFT calculation with PBE was carried out for a geometry-optimized CdMo2P structure.

Cell: 9.064 9.064 9.064 Å, 19.03 19.03 19.03°
Sites, in units of the cell vectors:
Cd: 0.000 0.000 0.000
Mo: 0.241 0.241 0.241
Mo: 0.496 0.496 0.496
P: 0.764 0.764 0.764

Properties
SG: R3m (160)
ΔE_f, eV per atom: 0.178
Energy relative to the lowest polymorph listed for this composition, meV/atom: 180
E_tot, eV/atom: -6.818


[12]
A plane-wave DFT calculation with PBE was carried out for a geometry-optimized NiSbW2 structure.

Cell: 2.977 4.005 5.455 Å, 90.00 90.00 90.00°
Sites, in units of the cell vectors:
Ni: 0.000 0.000 0.000
Sb: 0.000 0.000 0.500
W: 0.500 0.500 0.227
W: 0.500 0.500 0.773

Properties
SG: Pmmm (47)
E_tot, eV/atom: -8.372


[13]
A plane-wave DFT calculation with PBE was carried out for a geometry-optimized Hg2RhW structure.

Cell: 2.894 4.459 5.799 Å, 90.00 101.53 90.00°
Sites, in units of the cell vectors:
Hg: 0.000 0.000 0.000
Hg: 0.279 0.500 0.713
Rh: 0.658 0.500 0.255
W: 0.660 0.000 0.460

Properties
SG: Pm (6)
ΔE_f, eV per atom: 0.494
Energy relative to the lowest polymorph listed for this composition, meV/atom: 263
E_tot, eV/atom: -4.733


[14]
A plane-wave DFT calculation with PBE was carried out for a geometry-optimized LaPr2Th structure.

Cell: 3.640 3.640 10.678 Å, 90.00 90.00 90.00°
Sites, in units of the cell vectors:
La: 0.000 0.000 0.000
Pr: 0.500 0.500 0.267
Pr: 0.500 0.500 0.733
Th: 0.000 0.000 0.500

Properties
SG: P4/mmm (123)
ΔE_f, eV per atom: 0.036
Energy relative to the lowest polymorph listed for this composition, meV/atom: 4
E_tot, eV/atom: -5.441


[15]
A plane-wave DFT calculation with PBE was carried out for a geometry-optimized Nb6VCu structure.

Cell: 7.180 7.180 7.180 Å, 142.41 142.41 54.21°
Sites, in units of the cell vectors:
Nb: 0.120 0.620 0.500
Nb: 0.244 0.244 0.000
Nb: 0.380 0.880 0.500
Nb: 0.620 0.120 0.500
Nb: 0.756 0.756 0.000
Nb: 0.880 0.380 0.500
V: 0.000 0.000 0.000
Cu: 0.500 0.500 0.000

Properties
SG: I4/mmm (139)
ΔE_f, eV per atom: 0.072
E_tot, eV/atom: -9.132


[16]
A plane-wave DFT calculation with PBE was carried out for a geometry-optimized Mn2AsHRu structure.

Cell: 3.731 3.731 3.929 Å, 90.00 90.00 90.00°
Sites, in units of the cell vectors:
Mn: 0.000 0.500 0.000
Mn: 0.500 0.000 0.000
As: 0.000 0.000 0.500
H: 0.500 0.500 0.000
Ru: 0.500 0.500 0.500

Properties
SG: P4/mmm (123)
E_tot, eV/atom: -7.142


[17]
A plane-wave DFT calculation with PBE was carried out for a geometry-optimized SbCl2 structure.

Cell: 14.799 14.799 14.799 Å, 167.58 165.01 19.51°
Sites, in units of the cell vectors:
Sb: 0.373 0.123 0.250
Sb: 0.627 0.877 0.750
Cl: 0.069 0.319 0.750
Cl: 0.185 0.435 0.750
Cl: 0.815 0.565 0.250
Cl: 0.931 0.681 0.250

Properties
SG: Imma (74)
Energy relative to the lowest polymorph listed for this composition, meV/atom: 456
E_tot, eV/atom: -2.853


[18]
A plane-wave DFT calculation with PBE was carried out for a geometry-optimized CaUInBr6 structure.

Cell: 7.561 7.561 14.299 Å, 90.00 90.00 120.00°
Sites, in units of the cell vectors:
Ca: 0.333 0.667 0.250
Ca: 0.667 0.333 0.750
U: 0.333 0.667 0.750
U: 0.667 0.333 0.250
In: 0.000 0.000 0.000
In: 0.000 0.000 0.500
Br: 0.000 0.365 0.135
Br: 0.000 0.365 0.635
Br: 0.000 0.635 0.365
Br: 0.000 0.635 0.865
Br: 0.365 0.000 0.135
Br: 0.365 0.000 0.635
Br: 0.365 0.365 0.365
Br: 0.365 0.365 0.865
Br: 0.635 0.000 0.365
Br: 0.635 0.000 0.865
Br: 0.635 0.635 0.135
Br: 0.635 0.635 0.635

Properties
SG: P-31c (163)
E_tot, eV/atom: -4.292